(1)
# VHgPS2 PBE relaxed
data_VHgPS2
_chemical_formula_sum 'V1 Hg1 P1 S2'
_space_group_name_H-M_alt 'P 4/m m m'
_space_group_IT_number 123
_space_group_name_Hall '-P 4 2'
_cell_length_a 4.932
_cell_length_b 4.932
_cell_length_c 4.899
_cell_angle_alpha 90.00
_cell_angle_beta 90.00
_cell_angle_gamma 90.00
loop_
_atom_site_label
_atom_site_fract_x
_atom_site_fract_y
_atom_site_fract_z
_atom_site_occupancy
V1 0.000 0.000 0.000 1
Hg1 0.500 0.500 0.500 1
P1 0.500 0.500 0.000 1
S1 0.000 0.500 0.500 1
# Formation energy from raw total energies (eV per atom): 1.4463
# Total moment (μB per atom): 0.085
# E above lowest polymorph (meV/atom): 1396
# Calculated density (g/cm3): 4.83
# V (Å³ per cell): 119.18
# Crystal system: tetragonal

---

(2)
# VHgP2S PBE relaxed
data_VHgP2S
_chemical_formula_sum 'V1 Hg1 P2 S1'
_space_group_name_H-M_alt 'P 4/m m m'
_space_group_IT_number 123
_space_group_name_Hall '-P 4 2'
_cell_length_a 4.908
_cell_length_b 4.908
_cell_length_c 5.023
_cell_angle_alpha 90.00
_cell_angle_beta 90.00
_cell_angle_gamma 90.00
loop_
_atom_site_label
_atom_site_fract_x
_atom_site_fract_y
_atom_site_fract_z
_atom_site_occupancy
V1 0.000 0.000 0.000 1
Hg1 0.500 0.500 0.500 1
P1 0.000 0.500 0.500 1
S1 0.500 0.500 0.000 1
# Formation energy from raw total energies (eV per atom): 1.4158
# Total moment (μB per atom): 0.419
# E above lowest polymorph (meV/atom): 1215
# Calculated density (g/cm3): 4.74
# V (Å³ per cell): 121.02
# Crystal system: tetragonal

---

(3)
# VHgP2S PBE relaxed
data_VHgP2S
_chemical_formula_sum 'V1 Hg1 P2 S1'
_space_group_name_H-M_alt 'P 4/m m m'
_space_group_IT_number 123
_space_group_name_Hall '-P 4 2'
_cell_length_a 4.669
_cell_length_b 4.669
_cell_length_c 4.493
_cell_angle_alpha 90.00
_cell_angle_beta 90.00
_cell_angle_gamma 90.00
loop_
_atom_site_label
_atom_site_fract_x
_atom_site_fract_y
_atom_site_fract_z
_atom_site_occupancy
V1 0.000 0.000 0.000 1
Hg1 0.500 0.500 0.500 1
P1 0.000 0.500 0.000 1
S1 0.000 0.000 0.500 1
# Formation energy from raw total energies (eV per atom): 0.2009
# Total moment (μB per atom): 0.000
# E above lowest polymorph (meV/atom): 0
# Calculated density (g/cm3): 5.86
# V (Å³ per cell): 97.97
# Crystal system: tetragonal

---

(4)
# ZnHgPS2 PBE relaxed
data_ZnHgPS2
_chemical_formula_sum 'Zn1 Hg1 P1 S2'
_space_group_name_H-M_alt 'P 4/m m m'
_space_group_IT_number 123
_space_group_name_Hall '-P 4 2'
_cell_length_a 4.730
_cell_length_b 4.730
_cell_length_c 4.734
_cell_angle_alpha 90.00
_cell_angle_beta 90.00
_cell_angle_gamma 90.00
loop_
_atom_site_label
_atom_site_fract_x
_atom_site_fract_y
_atom_site_fract_z
_atom_site_occupancy
Zn1 0.000 0.000 0.000 1
Hg1 0.500 0.500 0.500 1
P1 0.000 0.000 0.500 1
S1 0.000 0.500 0.000 1
# Formation energy from raw total energies (eV per atom): 0.7157
# Total moment (μB per atom): 0.146
# E above lowest polymorph (meV/atom): 0
# Calculated density (g/cm3): 5.66
# V (Å³ per cell): 105.91
# Crystal system: tetragonal

---

(5)
# ZnHgP2S PBE relaxed
data_ZnHgP2S
_chemical_formula_sum 'Zn1 Hg1 P2 S1'
_space_group_name_H-M_alt 'P 4/m m m'
_space_group_IT_number 123
_space_group_name_Hall '-P 4 2'
_cell_length_a 4.705
_cell_length_b 4.705
_cell_length_c 4.751
_cell_angle_alpha 90.00
_cell_angle_beta 90.00
_cell_angle_gamma 90.00
loop_
_atom_site_label
_atom_site_fract_x
_atom_site_fract_y
_atom_site_fract_z
_atom_site_occupancy
Zn1 0.000 0.000 0.000 1
Hg1 0.500 0.500 0.500 1
P1 0.000 0.500 0.000 1
S1 0.000 0.000 0.500 1
# Formation energy from raw total energies (eV per atom): 0.8670
# Total moment (μB per atom): 0.192
# E above lowest polymorph (meV/atom): 0
# Calculated density (g/cm3): 5.68
# V (Å³ per cell): 105.18
# Crystal system: tetragonal

---

(6)
# ZrHgP2S PBE relaxed
data_ZrHgP2S
_chemical_formula_sum 'Zr1 Hg1 P2 S1'
_space_group_name_H-M_alt 'P 4/m m m'
_space_group_IT_number 123
_space_group_name_Hall '-P 4 2'
_cell_length_a 4.861
_cell_length_b 4.861
_cell_length_c 4.862
_cell_angle_alpha 90.00
_cell_angle_beta 90.00
_cell_angle_gamma 90.00
loop_
_atom_site_label
_atom_site_fract_x
_atom_site_fract_y
_atom_site_fract_z
_atom_site_occupancy
Zr1 0.000 0.000 0.000 1
Hg1 0.500 0.500 0.500 1
P1 0.000 0.500 0.500 1
S1 0.500 0.500 0.000 1
# Formation energy from raw total energies (eV per atom): 0.9211
# Total moment (μB per atom): 0.000
# E above lowest polymorph (meV/atom): 771
# Calculated density (g/cm3): 5.58
# V (Å³ per cell): 114.90
# Crystal system: tetragonal

---

(7)
# ZrHgPS2 PBE relaxed
data_ZrHgPS2
_chemical_formula_sum 'Zr1 Hg1 P1 S2'
_space_group_name_H-M_alt 'P 4/m m m'
_space_group_IT_number 123
_space_group_name_Hall '-P 4 2'
_cell_length_a 4.934
_cell_length_b 4.934
_cell_length_c 6.037
_cell_angle_alpha 90.00
_cell_angle_beta 90.00
_cell_angle_gamma 90.00
loop_
_atom_site_label
_atom_site_fract_x
_atom_site_fract_y
_atom_site_fract_z
_atom_site_occupancy
Zr1 0.000 0.000 0.000 1
Hg1 0.000 0.000 0.500 1
P1 0.500 0.500 0.500 1
S1 0.000 0.500 0.000 1
# Formation energy from raw total energies (eV per atom): 0.2091
# Total moment (μB per atom): 0.555
# E above lowest polymorph (meV/atom): 359
# Calculated density (g/cm3): 4.37
# V (Å³ per cell): 146.96
# Crystal system: tetragonal

---

(8)
# ZrHgP2S PBE relaxed
data_ZrHgP2S
_chemical_formula_sum 'Zr1 Hg1 P2 S1'
_space_group_name_H-M_alt 'P 4/m m m'
_space_group_IT_number 123
_space_group_name_Hall '-P 4 2'
_cell_length_a 5.126
_cell_length_b 5.126
_cell_length_c 4.924
_cell_angle_alpha 90.00
_cell_angle_beta 90.00
_cell_angle_gamma 90.00
loop_
_atom_site_label
_atom_site_fract_x
_atom_site_fract_y
_atom_site_fract_z
_atom_site_occupancy
Zr1 0.000 0.000 0.000 1
Hg1 0.500 0.500 0.500 1
P1 0.000 0.500 0.000 1
S1 0.000 0.000 0.500 1
# Formation energy from raw total energies (eV per atom): 0.1502
# Total moment (μB per atom): 0.072
# E above lowest polymorph (meV/atom): 0
# Calculated density (g/cm3): 4.95
# V (Å³ per cell): 129.41
# Crystal system: tetragonal

---

(9)
# ZrHgPS2 PBE relaxed
data_ZrHgPS2
_chemical_formula_sum 'Zr1 Hg1 P1 S2'
_space_group_name_H-M_alt 'P 4/m m m'
_space_group_IT_number 123
_space_group_name_Hall '-P 4 2'
_cell_length_a 4.938
_cell_length_b 4.938
_cell_length_c 5.296
_cell_angle_alpha 90.00
_cell_angle_beta 90.00
_cell_angle_gamma 90.00
loop_
_atom_site_label
_atom_site_fract_x
_atom_site_fract_y
_atom_site_fract_z
_atom_site_occupancy
Zr1 0.000 0.000 0.000 1
Hg1 0.500 0.500 0.500 1
P1 0.000 0.000 0.500 1
S1 0.000 0.500 0.000 1
# Formation energy from raw total energies (eV per atom): -0.1503
# Total moment (μB per atom): 0.051
# E above lowest polymorph (meV/atom): 0
# Calculated density (g/cm3): 4.98
# V (Å³ per cell): 129.12
# Crystal system: tetragonal

---

(10)
# ZrHg2PS PBE relaxed
data_ZrHg2PS
_chemical_formula_sum 'Zr1 Hg2 P1 S1'
_space_group_name_H-M_alt 'P 4/m m m'
_space_group_IT_number 123
_space_group_name_Hall '-P 4 2'
_cell_length_a 4.933
_cell_length_b 4.933
_cell_length_c 5.045
_cell_angle_alpha 90.00
_cell_angle_beta 90.00
_cell_angle_gamma 90.00
loop_
_atom_site_label
_atom_site_fract_x
_atom_site_fract_y
_atom_site_fract_z
_atom_site_occupancy
Zr1 0.000 0.000 0.000 1
Hg1 0.000 0.500 0.500 1
P1 0.000 0.000 0.500 1
S1 0.500 0.500 0.000 1
# Formation energy from raw total energies (eV per atom): 0.2391
# Total moment (μB per atom): 0.000
# Calculated density (g/cm3): 7.51
# V (Å³ per cell): 122.77
# Crystal system: tetragonal

---

(11)
# ZrHgPS2 PBE relaxed
data_ZrHgPS2
_chemical_formula_sum 'Zr1 Hg1 P1 S2'
_space_group_name_H-M_alt 'P 4/m m m'
_space_group_IT_number 123
_space_group_name_Hall '-P 4 2'
_cell_length_a 4.828
_cell_length_b 4.828
_cell_length_c 4.940
_cell_angle_alpha 90.00
_cell_angle_beta 90.00
_cell_angle_gamma 90.00
loop_
_atom_site_label
_atom_site_fract_x
_atom_site_fract_y
_atom_site_fract_z
_atom_site_occupancy
Zr1 0.000 0.000 0.000 1
Hg1 0.500 0.500 0.500 1
P1 0.500 0.500 0.000 1
S1 0.000 0.500 0.500 1
# Formation energy from raw total energies (eV per atom): 0.7390
# Total moment (μB per atom): 0.016
# E above lowest polymorph (meV/atom): 889
# Calculated density (g/cm3): 5.58
# V (Å³ per cell): 115.14
# Crystal system: tetragonal

---

(12)
# HgSbP2 PBE relaxed
data_HgSbP2
_chemical_formula_sum 'Hg4 Sb4 P8'
_space_group_name_H-M_alt 'F m -3 m'
_space_group_IT_number 225
_space_group_name_Hall '-F 4 2 3'
_cell_length_a 6.897
_cell_length_b 6.897
_cell_length_c 6.897
_cell_angle_alpha 90.00
_cell_angle_beta 90.00
_cell_angle_gamma 90.00
loop_
_atom_site_label
_atom_site_fract_x
_atom_site_fract_y
_atom_site_fract_z
_atom_site_occupancy
Hg1 0.000 0.000 0.000 1
Sb1 0.000 0.000 0.500 1
P1 0.250 0.250 0.250 1
# Formation energy from raw total energies (eV per atom): 0.6103
# Total moment (μB per atom): 0.000
# E above lowest polymorph (meV/atom): 465
# Calculated density (g/cm3): 7.78
# V (Å³ per cell): 328.01
# Crystal system: cubic